# KReBr2

A relaxed structure of KReBr2 (PBE, the Alexandria database).

Its energy relative to the lowest polymorph listed for this composition is 64.9 kJ/mol of atoms. The formation energy from raw total energies is 0.879 eV/atom. Its spin magnetization is 5.99 μB per formula unit.

The space group is F-43m (No. 216) and the conventional cell measures 7.916, 7.916 and 7.916 Å, with angles of 90.00, 90.00 and 90.00 degrees. The distinct sites, in fractional coordinates, are K at (0.000, 0.000, 0.000), Re at (0.250, 0.250, 0.750), Br at (0.000, 0.000, 0.500) and Br at (0.250, 0.250, 0.250).